# 1
{
  "formula": "Ba3AsH",
  "functional": "PBE-GGA",
  "state": "relaxed",
  "lattice": [[-1.797, 3.091, 2.785], [-6.208, 1.963, -6.186], [-7.275, -5.171, 1.046]],
  "species": ["Ba", "Ba", "Ba", "Ba", "Ba", "Ba", "As", "H", "As", "H"],
  "frac_coords": [[0.863, 0.758, 0.445], [0.363, 0.035, 0.087], [0.863, 0.630, 0.047], [0.863, 0.995, 0.683], [0.863, 0.393, 0.810], [0.363, 0.353, 0.406], [0.863, 0.194, 0.247], [0.364, 0.194, 0.746], [0.363, 0.694, 0.746], [0.363, 0.694, 0.246]],
  "crystal_system": "orthorhombic",
  "m_tot_mub_per_fu": 1.2,
  "dos_ef_per_ev_fu": 3.6,
  "polymorph_energy_mev_per_atom": 0
}



# 2
{
  "formula": "Ba2AsH4",
  "functional": "PBE-GGA",
  "state": "relaxed",
  "lattice": [[-2.050, -2.900, -2.226], [2.857, -2.863, 1.099], [-4.326, 1.196, 6.371]],
  "species": ["H", "H", "Ba", "H", "As", "Ba", "H"],
  "frac_coords": [[0.133, 0.133, 0.265], [0.750, 0.250, 0.500], [0.646, 0.646, 0.292], [0.867, 0.867, 0.735], [0.000, 0.000, 0.000], [0.354, 0.354, 0.708], [0.250, 0.750, 0.500]],
  "crystal_system": "tetragonal",
  "m_tot_mub_per_fu": 0.0,
  "dos_ef_per_ev_fu": 2.7
}



# 3
{
  "formula": "Ba6AsH8",
  "functional": "PBE-GGA",
  "state": "relaxed",
  "lattice": [[-6.299, 4.403, -0.592], [-3.687, 2.326, 6.356], [0.849, 8.250, 2.147]],
  "species": ["H", "Ba", "As", "Ba", "H", "H", "Ba", "H", "H", "H", "Ba", "H", "Ba", "Ba", "H"],
  "frac_coords": [[0.104, 0.468, 0.627], [0.414, 0.103, 0.738], [0.000, 0.000, 0.000], [0.745, 0.414, 0.738], [0.532, 0.200, 0.373], [0.662, 0.662, 0.013], [0.586, 0.897, 0.262], [0.468, 0.800, 0.627], [0.200, 0.896, 0.373], [0.800, 0.104, 0.627], [0.103, 0.745, 0.738], [0.338, 0.338, 0.987], [0.255, 0.586, 0.262], [0.897, 0.255, 0.262], [0.896, 0.532, 0.373]],
  "crystal_system": "trigonal",
  "m_tot_mub_per_fu": 1.0,
  "dos_ef_per_ev_fu": 2.0
}



no.,raw total energy (eV per atom)
1,-3.295
2,-3.463
3,-3.409